Model A:
Entry from the Alexandria database: a relaxed structure of ScS2IN (PBE-GGA).

Summary:
Total magnetization = 0.0000 μB per atom

Geometry as CIF:
```
data_ScS2IN
_symmetry_space_group_name_H-M 'P 4/m m m'
_symmetry_Int_Tables_number 123
_symmetry_space_group_name_Hall '-P 4 2'
_cell_length_a 5.108
_cell_length_b 5.108
_cell_length_c 4.076
_cell_angle_alpha 90.00
_cell_angle_beta 90.00
_cell_angle_gamma 90.00
loop_
_atom_site_label
_atom_site_fract_x
_atom_site_fract_y
_atom_site_fract_z
_atom_site_occupancy
Sc1 0.000 0.000 0.000 1
S1 0.000 0.500 0.000 1
I1 0.500 0.500 0.500 1
N1 0.000 0.000 0.500 1
```

---

Model B:
Entry from the Alexandria database: a relaxed structure of ScS2IN (PBE-GGA).

Summary:
Total magnetization = 0.1348 μB per atom

Geometry as CIF:
```
data_ScS2IN
_symmetry_space_group_name_H-M 'P 4/m m m'
_symmetry_Int_Tables_number 123
_symmetry_space_group_name_Hall '-P 4 2'
_cell_length_a 5.192
_cell_length_b 5.192
_cell_length_c 3.922
_cell_angle_alpha 90.00
_cell_angle_beta 90.00
_cell_angle_gamma 90.00
loop_
_atom_site_label
_atom_site_fract_x
_atom_site_fract_y
_atom_site_fract_z
_atom_site_occupancy
Sc1 0.000 0.000 0.000 1
S1 0.000 0.500 0.500 1
I1 0.500 0.500 0.500 1
N1 0.500 0.500 0.000 1
```

---

Stability ranking, top and bottom: model A is the most stable and model B is the least stable.

---

Model A:
Entry from the Alexandria database: a relaxed structure of SeSIN2 (PBE-GGA).

Summary:
Total magnetization = 0.1478 μB per atom

Geometry as CIF:
```
data_SeSIN2
_symmetry_space_group_name_H-M 'P 4/m m m'
_symmetry_Int_Tables_number 123
_symmetry_space_group_name_Hall '-P 4 2'
_cell_length_a 3.779
_cell_length_b 3.779
_cell_length_c 7.512
_cell_angle_alpha 90.00
_cell_angle_beta 90.00
_cell_angle_gamma 90.00
loop_
_atom_site_label
_atom_site_fract_x
_atom_site_fract_y
_atom_site_fract_z
_atom_site_occupancy
Se1 0.000 0.000 0.000 1
S1 0.000 0.000 0.500 1
I1 0.500 0.500 0.000 1
N1 0.000 0.500 0.500 1
```

---

Model B:
Entry from the Alexandria database: a relaxed structure of SeSIN2 (PBE-GGA).

Summary:
Total magnetization = 0.0000 μB per atom

Geometry as CIF:
```
data_SeSIN2
_symmetry_space_group_name_H-M 'P 4/m m m'
_symmetry_Int_Tables_number 123
_symmetry_space_group_name_Hall '-P 4 2'
_cell_length_a 3.876
_cell_length_b 3.876
_cell_length_c 7.125
_cell_angle_alpha 90.00
_cell_angle_beta 90.00
_cell_angle_gamma 90.00
loop_
_atom_site_label
_atom_site_fract_x
_atom_site_fract_y
_atom_site_fract_z
_atom_site_occupancy
Se1 0.000 0.000 0.000 1
S1 0.500 0.500 0.000 1
I1 0.000 0.000 0.500 1
N1 0.000 0.500 0.500 1
```

---

Model C:
Entry from the Alexandria database: a relaxed structure of SeSIN2 (PBE-GGA).

Summary:
Total magnetization = 0.1734 μB per atom

Geometry as CIF:
```
data_SeSIN2
_symmetry_space_group_name_H-M 'P 4/m m m'
_symmetry_Int_Tables_number 123
_symmetry_space_group_name_Hall '-P 4 2'
_cell_length_a 3.823
_cell_length_b 3.823
_cell_length_c 7.407
_cell_angle_alpha 90.00
_cell_angle_beta 90.00
_cell_angle_gamma 90.00
loop_
_atom_site_label
_atom_site_fract_x
_atom_site_fract_y
_atom_site_fract_z
_atom_site_occupancy
Se1 0.000 0.000 0.000 1
S1 0.000 0.000 0.500 1
I1 0.500 0.500 0.500 1
N1 0.000 0.500 0.000 1
```

---

Stability ranking, top and bottom: model C is the most stable and model B is the least stable.

---

Model A:
Entry from the Alexandria database: a relaxed structure of SiSIN2 (PBE-GGA).

Summary:
Total magnetization = 0.0000 μB per atom

Geometry as CIF:
```
data_SiSIN2
_symmetry_space_group_name_H-M 'P 4/m m m'
_symmetry_Int_Tables_number 123
_symmetry_space_group_name_Hall '-P 4 2'
_cell_length_a 3.710
_cell_length_b 3.710
_cell_length_c 6.903
_cell_angle_alpha 90.00
_cell_angle_beta 90.00
_cell_angle_gamma 90.00
loop_
_atom_site_label
_atom_site_fract_x
_atom_site_fract_y
_atom_site_fract_z
_atom_site_occupancy
Si1 0.000 0.000 0.000 1
S1 0.500 0.500 0.500 1
I1 0.500 0.500 0.000 1
N1 0.000 0.500 0.500 1
```

---

Model B:
Entry from the Alexandria database: a relaxed structure of SiSIN2 (PBE-GGA).

Summary:
Total magnetization = 0.0000 μB per atom

Geometry as CIF:
```
data_SiSIN2
_symmetry_space_group_name_H-M 'P 4/m m m'
_symmetry_Int_Tables_number 123
_symmetry_space_group_name_Hall '-P 4 2'
_cell_length_a 3.989
_cell_length_b 3.989
_cell_length_c 5.414
_cell_angle_alpha 90.00
_cell_angle_beta 90.00
_cell_angle_gamma 90.00
loop_
_atom_site_label
_atom_site_fract_x
_atom_site_fract_y
_atom_site_fract_z
_atom_site_occupancy
Si1 0.000 0.000 0.000 1
S1 0.500 0.500 0.000 1
I1 0.500 0.500 0.500 1
N1 0.000 0.500 0.500 1
```

---

Stability ranking, top and bottom: model A is the most stable and model B is the least stable.

---

Model A:
Entry from the Alexandria database: a relaxed structure of SnS2IN (PBE-GGA).

Summary:
Total magnetization = 0.0000 μB per atom

Geometry as CIF:
```
data_SnS2IN
_symmetry_space_group_name_H-M 'P 4/m m m'
_symmetry_Int_Tables_number 123
_symmetry_space_group_name_Hall '-P 4 2'
_cell_length_a 5.276
_cell_length_b 5.276
_cell_length_c 3.974
_cell_angle_alpha 90.00
_cell_angle_beta 90.00
_cell_angle_gamma 90.00
loop_
_atom_site_label
_atom_site_fract_x
_atom_site_fract_y
_atom_site_fract_z
_atom_site_occupancy
Sn1 0.000 0.000 0.000 1
S1 0.000 0.500 0.500 1
I1 0.500 0.500 0.500 1
N1 0.500 0.500 0.000 1
```

---

Model B:
Entry from the Alexandria database: a relaxed structure of SnS2IN (PBE-GGA).

Summary:
Total magnetization = 0.0000 μB per atom

Geometry as CIF:
```
data_SnS2IN
_symmetry_space_group_name_H-M 'P 4/m m m'
_symmetry_Int_Tables_number 123
_symmetry_space_group_name_Hall '-P 4 2'
_cell_length_a 5.227
_cell_length_b 5.227
_cell_length_c 3.988
_cell_angle_alpha 90.00
_cell_angle_beta 90.00
_cell_angle_gamma 90.00
loop_
_atom_site_label
_atom_site_fract_x
_atom_site_fract_y
_atom_site_fract_z
_atom_site_occupancy
Sn1 0.000 0.000 0.000 1
S1 0.000 0.500 0.000 1
I1 0.500 0.500 0.500 1
N1 0.000 0.000 0.500 1
```

---

Stability ranking, top and bottom: model B is the most stable and model A is the least stable.